Record 1
First-principles (PBE) data for a geometry-optimized BaCd2Ag4Au structure, as listed in Alexandria via LeMat-Bulk.

Cell lengths 10.242, 10.242, 10.242 Å; angles 26.79, 26.79, 26.79 degrees
Positions (direct):
Ba 0.000 0.000 0.000
Cd 0.236 0.236 0.236
Cd 0.764 0.764 0.764
Ag 0.133 0.133 0.133
Ag 0.406 0.406 0.406
Ag 0.594 0.594 0.594
Ag 0.867 0.867 0.867
Au 0.500 0.500 0.500

Computed properties:
The total magnetization comes out at 0.00 μB/f.u. The space group is R-3m. For the total energy, the calculation gives -2.412 eV per atom.


Record 2
First-principles (PBE) data for a geometry-optimized CaPdW structure, as listed in Alexandria via LeMat-Bulk.

Cell lengths 3.335, 3.254, 11.058 Å; angles 90.00, 90.91, 90.00 degrees
Positions (direct):
Ca 0.000 0.000 0.000
Ca 0.018 0.000 0.346
Pd 0.509 0.500 0.172
Pd 0.524 0.500 0.526
W 0.045 0.000 0.680
W 0.497 0.500 0.794

Computed properties:
The total magnetization comes out at 0.00 μB/f.u. For the excess energy over the best structure of this formula in the dataset, the calculation gives 0 meV/atom. The space group is Pm. For the total energy, the calculation gives -6.732 eV per atom.